# 1
# ScSnI | Alexandria | PBE | relaxed
# symmetry	Cm
# E	-0.1711	hartree per atom
data_ScSnI
_chemical_formula_sum 'Sc4 Sn4 I4'
_cell_length_a 7.1307
_cell_length_b 4.1167
_cell_length_c 13.0632
_cell_angle_alpha 90.00
_cell_angle_beta 100.15
_cell_angle_gamma 90.00
_space_group_name_H-M_alt 'P 1'
_space_group_IT_number 1
loop_
_space_group_symop_operation_xyz
'x,y,z'
loop_
_atom_site_label
_atom_site_type_symbol
_atom_site_fract_x
_atom_site_fract_y
_atom_site_fract_z
Sc1 Sc 0.0000 0.0000 0.0000
Sc2 Sc 0.0353 0.5000 0.5930
Sc3 Sc 0.5000 0.5000 0.0000
Sc4 Sc 0.5353 0.0000 0.5930
Sn1 Sn 0.1221 0.5000 0.8619
Sn2 Sn 0.4147 0.5000 0.7354
Sn3 Sn 0.6221 0.0000 0.8619
Sn4 Sn 0.9147 0.0000 0.7354
I1 I 0.3211 0.5000 0.4462
I2 I 0.3788 0.0000 0.1407
I3 I 0.8211 0.0000 0.4462
I4 I 0.8788 0.5000 0.1407



# 2
# RbAcCuI5 | Alexandria | PBE | relaxed
# symmetry	C2/c
# E	-0.1201	hartree per atom
data_RbAcCuI5
_chemical_formula_sum 'Rb2 Ac2 Cu2 I10'
_cell_length_a 8.6352
_cell_length_b 8.6352
_cell_length_c 11.8702
_cell_angle_alpha 103.84
_cell_angle_beta 103.84
_cell_angle_gamma 106.13
_space_group_name_H-M_alt 'P 1'
_space_group_IT_number 1
loop_
_space_group_symop_operation_xyz
'x,y,z'
loop_
_atom_site_label
_atom_site_type_symbol
_atom_site_fract_x
_atom_site_fract_y
_atom_site_fract_z
Rb1 Rb 0.1318 0.8682 0.7500
Rb2 Rb 0.8682 0.1318 0.2500
Ac1 Ac 0.5000 0.5000 0.0000
Ac2 Ac 0.5000 0.5000 0.5000
Cu1 Cu 0.1907 0.8093 0.2500
Cu2 Cu 0.8093 0.1907 0.7500
I1 I 0.0989 0.2603 0.9289
I2 I 0.1689 0.5807 0.3641
I3 I 0.2603 0.0989 0.4289
I4 I 0.3995 0.6005 0.7500
I5 I 0.4193 0.8311 0.1359
I6 I 0.5807 0.1689 0.8641
I7 I 0.6005 0.3995 0.2500
I8 I 0.7397 0.9011 0.5711
I9 I 0.8311 0.4193 0.6359
I10 I 0.9011 0.7397 0.0711



# 3
# NdHg2Pd2 | Alexandria | PBE | relaxed
# energy of formation	-2.07	eV/f.u.
# symmetry	C2/m
# E above lowest polymorph	69	meV/atom
data_NdHg2Pd2
_chemical_formula_sum 'Nd2 Hg4 Pd4'
_cell_length_a 5.8697
_cell_length_b 5.8571
_cell_length_c 7.1344
_cell_angle_alpha 90.00
_cell_angle_beta 113.50
_cell_angle_gamma 90.00
_space_group_name_H-M_alt 'P 1'
_space_group_IT_number 1
loop_
_space_group_symop_operation_xyz
'x,y,z'
loop_
_atom_site_label
_atom_site_type_symbol
_atom_site_fract_x
_atom_site_fract_y
_atom_site_fract_z
Nd1 Nd 0.0000 0.0000 0.0000
Nd2 Nd 0.5000 0.5000 0.0000
Hg1 Hg 0.0000 0.2499 0.5000
Hg2 Hg 0.0000 0.7501 0.5000
Hg3 Hg 0.5000 0.2501 0.5000
Hg4 Hg 0.5000 0.7499 0.5000
Pd1 Pd 0.1043 0.5000 0.2002
Pd2 Pd 0.3957 0.0000 0.7998
Pd3 Pd 0.6043 0.0000 0.2002
Pd4 Pd 0.8957 0.5000 0.7998



# 4
# Te2AsPb | Alexandria | PBE | relaxed
# symmetry	Imm2
# E above lowest polymorph	135	meV/atom
data_Te2AsPb
_chemical_formula_sum 'Te4 As2 Pb2'
_cell_length_a 4.0587
_cell_length_b 6.1381
_cell_length_c 11.7632
_cell_angle_alpha 90.00
_cell_angle_beta 90.00
_cell_angle_gamma 90.00
_space_group_name_H-M_alt 'P 1'
_space_group_IT_number 1
loop_
_space_group_symop_operation_xyz
'x,y,z'
loop_
_atom_site_label
_atom_site_type_symbol
_atom_site_fract_x
_atom_site_fract_y
_atom_site_fract_z
Te1 Te 0.0000 0.0000 0.0000
Te2 Te 0.0000 0.5000 0.2678
Te3 Te 0.5000 0.0000 0.7678
Te4 Te 0.5000 0.5000 0.5000
As1 As 0.0000 0.5000 0.6521
As2 As 0.5000 0.0000 0.1521
Pb1 Pb 0.0000 0.0000 0.5814
Pb2 Pb 0.5000 0.5000 0.0814



# 5
# Pm2NdDy6Tm3 | Alexandria | PBE | relaxed
# energy of formation	0.24	eV/f.u.
# symmetry	C2/m
data_Pm2NdDy6Tm3
_chemical_formula_sum 'Pm2 Nd1 Dy6 Tm3'
_cell_length_a 6.1632
_cell_length_b 6.1632
_cell_length_c 11.7792
_cell_angle_alpha 95.00
_cell_angle_beta 95.00
_cell_angle_gamma 119.95
_space_group_name_H-M_alt 'P 1'
_space_group_IT_number 1
loop_
_space_group_symop_operation_xyz
'x,y,z'
loop_
_atom_site_label
_atom_site_type_symbol
_atom_site_fract_x
_atom_site_fract_y
_atom_site_fract_z
Pm1 Pm 0.1666 0.8334 0.0000
Pm2 Pm 0.8334 0.1666 0.0000
Nd1 Nd 0.5000 0.5000 0.0000
Dy1 Dy 0.0808 0.4143 0.7452
Dy2 Dy 0.2522 0.2522 0.2548
Dy3 Dy 0.4143 0.0808 0.7452
Dy4 Dy 0.5857 0.9192 0.2548
Dy5 Dy 0.7478 0.7478 0.7452
Dy6 Dy 0.9192 0.5857 0.2548
Tm1 Tm 0.0000 0.0000 0.5000
Tm2 Tm 0.3333 0.6667 0.5000
Tm3 Tm 0.6667 0.3333 0.5000



# 6
# CrInTe4 | Alexandria | PBE | relaxed
# symmetry	F-43m
# E above lowest polymorph	668	meV/atom
data_CrInTe4
_chemical_formula_sum 'Cr1 In1 Te4'
_cell_length_a 6.4361
_cell_length_b 6.4361
_cell_length_c 6.4361
_cell_angle_alpha 60.00
_cell_angle_beta 60.00
_cell_angle_gamma 60.00
_space_group_name_H-M_alt 'P 1'
_space_group_IT_number 1
loop_
_space_group_symop_operation_xyz
'x,y,z'
loop_
_atom_site_label
_atom_site_type_symbol
_atom_site_fract_x
_atom_site_fract_y
_atom_site_fract_z
Cr1 Cr 0.0000 0.0000 0.0000
In1 In 0.7500 0.7500 0.7500
Te1 Te 0.3744 0.3744 0.3744
Te2 Te 0.3744 0.3744 0.8766
Te3 Te 0.3744 0.8766 0.3744
Te4 Te 0.8766 0.3744 0.3744



# 7
# Dy5Er2TmTh | Alexandria | PBE | relaxed
# energy of formation	1.44	eV/f.u.
# symmetry	Cmc2_1
data_Dy5Er2TmTh
_chemical_formula_sum 'Dy10 Er4 Tm2 Th2'
_cell_length_a 10.3913
_cell_length_b 10.3913
_cell_length_c 10.3834
_cell_angle_alpha 90.00
_cell_angle_beta 90.00
_cell_angle_gamma 148.92
_space_group_name_H-M_alt 'P 1'
_space_group_IT_number 1
loop_
_space_group_symop_operation_xyz
'x,y,z'
loop_
_atom_site_label
_atom_site_type_symbol
_atom_site_fract_x
_atom_site_fract_y
_atom_site_fract_z
Dy1 Dy 0.0150 0.9850 0.5000
Dy2 Dy 0.2752 0.7248 0.7938
Dy3 Dy 0.2982 0.7018 0.1867
Dy4 Dy 0.3871 0.6129 0.5047
Dy5 Dy 0.4799 0.5201 0.2207
Dy6 Dy 0.5201 0.4799 0.7207
Dy7 Dy 0.6129 0.3871 0.0047
Dy8 Dy 0.7018 0.2982 0.6867
Dy9 Dy 0.7248 0.2752 0.2938
Dy10 Dy 0.9850 0.0150 0.0000
Er1 Er 0.1123 0.8877 0.2150
Er2 Er 0.1124 0.8876 0.7933
Er3 Er 0.8876 0.1124 0.2933
Er4 Er 0.8877 0.1123 0.7150
Tm1 Tm 0.4079 0.5921 0.9340
Tm2 Tm 0.5921 0.4079 0.4340
Th1 Th 0.1976 0.8024 0.4943
Th2 Th 0.8024 0.1976 0.9943



# 8
# Mg5TlHg2Pb2 | Alexandria | PBE | relaxed
# energy of formation	-0.63	eV/f.u.
# symmetry	P4/mbm
data_Mg5TlHg2Pb2
_chemical_formula_sum 'Mg10 Tl2 Hg4 Pb4'
_cell_length_a 11.1289
_cell_length_b 11.1289
_cell_length_c 4.0834
_cell_angle_alpha 90.00
_cell_angle_beta 90.00
_cell_angle_gamma 90.00
_space_group_name_H-M_alt 'P 1'
_space_group_IT_number 1
loop_
_space_group_symop_operation_xyz
'x,y,z'
loop_
_atom_site_label
_atom_site_type_symbol
_atom_site_fract_x
_atom_site_fract_y
_atom_site_fract_z
Mg1 Mg 0.0000 0.5000 0.0000
Mg2 Mg 0.0556 0.2052 0.0000
Mg3 Mg 0.2052 0.9444 0.0000
Mg4 Mg 0.2948 0.4444 0.0000
Mg5 Mg 0.4444 0.7052 0.0000
Mg6 Mg 0.5000 0.0000 0.0000
Mg7 Mg 0.5556 0.2948 0.0000
Mg8 Mg 0.7052 0.5556 0.0000
Mg9 Mg 0.7948 0.0556 0.0000
Mg10 Mg 0.9444 0.7948 0.0000
Tl1 Tl 0.0000 0.0000 0.5000
Tl2 Tl 0.5000 0.5000 0.5000
Hg1 Hg 0.1261 0.3739 0.5000
Hg2 Hg 0.3739 0.8739 0.5000
Hg3 Hg 0.6261 0.1261 0.5000
Hg4 Hg 0.8739 0.6261 0.5000
Pb1 Pb 0.1739 0.6739 0.5000
Pb2 Pb 0.3261 0.1739 0.5000
Pb3 Pb 0.6739 0.8261 0.5000
Pb4 Pb 0.8261 0.3261 0.5000



# 9
# MnP2Pb | Alexandria | PBE | relaxed
# energy of formation	0.35	eV/f.u.
# symmetry	P4/mmm
data_MnP2Pb
_chemical_formula_sum 'Mn1 P2 Pb1'
_cell_length_a 2.9546
_cell_length_b 2.9546
_cell_length_c 7.8208
_cell_angle_alpha 90.00
_cell_angle_beta 90.00
_cell_angle_gamma 90.00
_space_group_name_H-M_alt 'P 1'
_space_group_IT_number 1
loop_
_space_group_symop_operation_xyz
'x,y,z'
loop_
_atom_site_label
_atom_site_type_symbol
_atom_site_fract_x
_atom_site_fract_y
_atom_site_fract_z
Mn1 Mn 0.0000 0.0000 0.0000
P1 P 0.5000 0.5000 0.1625
P2 P 0.5000 0.5000 0.8375
Pb1 Pb 0.0000 0.0000 0.5000



# 10
# KSnPt | Alexandria | PBE | relaxed
# energy of formation	-0.94	eV/f.u.
# symmetry	P-6m2
data_KSnPt
_chemical_formula_sum 'K1 Sn1 Pt1'
_cell_length_a 4.5006
_cell_length_b 4.5006
_cell_length_c 5.3836
_cell_angle_alpha 90.00
_cell_angle_beta 90.00
_cell_angle_gamma 120.00
_space_group_name_H-M_alt 'P 1'
_space_group_IT_number 1
loop_
_space_group_symop_operation_xyz
'x,y,z'
loop_
_atom_site_label
_atom_site_type_symbol
_atom_site_fract_x
_atom_site_fract_y
_atom_site_fract_z
K1 K 0.0000 0.0000 0.0000
Sn1 Sn 0.6667 0.3333 0.5000
Pt1 Pt 0.3333 0.6667 0.5000



# 11
# Te2OsIF | Alexandria | PBE | relaxed
# symmetry	P4/mmm
# E above lowest polymorph	665	meV/atom
data_Te2OsIF
_chemical_formula_sum 'Te2 Os1 I1 F1'
_cell_length_a 4.5898
_cell_length_b 4.5898
_cell_length_c 6.3513
_cell_angle_alpha 90.00
_cell_angle_beta 90.00
_cell_angle_gamma 90.00
_space_group_name_H-M_alt 'P 1'
_space_group_IT_number 1
loop_
_space_group_symop_operation_xyz
'x,y,z'
loop_
_atom_site_label
_atom_site_type_symbol
_atom_site_fract_x
_atom_site_fract_y
_atom_site_fract_z
Te1 Te 0.0000 0.5000 0.0000
Te2 Te 0.5000 0.0000 0.0000
Os1 Os 0.0000 0.0000 0.5000
I1 I 0.5000 0.5000 0.5000
F1 F 0.5000 0.5000 0.0000



# 12
# SrLiMo | Alexandria | PBE | relaxed
# energy of formation	3.88	eV/f.u.
# symmetry	F-43m
# E above lowest polymorph	919	meV/atom
data_SrLiMo
_chemical_formula_sum 'Sr4 Li4 Mo4'
_cell_length_a 7.1029
_cell_length_b 7.1029
_cell_length_c 7.1029
_cell_angle_alpha 90.00
_cell_angle_beta 90.00
_cell_angle_gamma 90.00
_space_group_name_H-M_alt 'P 1'
_space_group_IT_number 1
loop_
_space_group_symop_operation_xyz
'x,y,z'
loop_
_atom_site_label
_atom_site_type_symbol
_atom_site_fract_x
_atom_site_fract_y
_atom_site_fract_z
Sr1 Sr 0.0000 0.0000 0.0000
Sr2 Sr 0.0000 0.5000 0.5000
Sr3 Sr 0.5000 0.0000 0.5000
Sr4 Sr 0.5000 0.5000 0.0000
Li1 Li 0.2500 0.2500 0.7500
Li2 Li 0.2500 0.7500 0.2500
Li3 Li 0.7500 0.2500 0.2500
Li4 Li 0.7500 0.7500 0.7500
Mo1 Mo 0.0000 0.0000 0.5000
Mo2 Mo 0.0000 0.5000 0.0000
Mo3 Mo 0.5000 0.0000 0.0000
Mo4 Mo 0.5000 0.5000 0.5000



| no. | magnetization (μB/cell) | density of states at the Fermi level (states/eV/cell) |
| --- | --- | --- |
| 1 | 0.00 | 4.67 |
| 2 | 0.29 | 0.00 |
| 3 | 0.00 | 5.72 |
| 4 | 0.00 | 3.36 |
| 5 | 0.00 | 15.96 |
| 6 | 5.22 | 3.57 |
| 7 | 0.00 | 29.86 |
| 8 | 0.00 | 9.85 |
| 9 | 0.28 | 2.79 |
| 10 | 0.00 | 2.12 |
| 11 | 3.83 | 6.39 |
| 12 | 16.78 | 11.07 |